Record 1
## Ho2O3 (SCAN)

Data for a crystal of Ho2O3 relaxed with PBEsol.

Cell lengths 3.445, 7.088, 8.500 Å; angles 99.75, 90.00, 104.07 degrees
Element x y z (fractional)
1 Ho 0.365 0.730 0.513
2 Ho 0.635 0.270 0.487
3 Ho 0.309 0.619 0.863
4 Ho 0.691 0.381 0.137
5 Ho 0.033 0.066 0.813
6 Ho 0.967 0.934 0.187
7 O 0.872 0.744 0.717
8 O 0.128 0.256 0.283
9 O 0.175 0.350 0.970
10 O 0.825 0.650 0.030
11 O 0.206 0.412 0.624
12 O 0.794 0.588 0.376
13 O 0.529 0.057 0.656
14 O 0.471 0.943 0.344
15 O 0.500 0.000 0.000

Its magnetic moment is 0.00 μB/cell. As for the space-group type: C2/m, No. 12. The calculation puts the density at 9.49 Mg/m³. The value obtained for the density of states at the Fermi level is 0.00 states/eV/f.u. The calculation puts the raw total energy at -408.9 eV per cell.

***

Record 2
## Ho2O3 (SCAN)

Data for a crystal of Ho2O3 relaxed with PBEsol.

Cell lengths 9.072, 9.072, 9.072 Å; angles 109.47, 109.47, 109.47 degrees
Element x y z (fractional)
1 Ho 0.000 0.000 0.500
2 Ho 0.000 0.500 0.000
3 Ho 0.500 0.500 0.500
4 Ho 0.500 0.000 0.000
5 Ho 0.750 0.717 0.967
6 Ho 0.250 0.783 0.533
7 Ho 0.467 0.750 0.217
8 Ho 0.033 0.250 0.283
9 Ho 0.717 0.467 0.250
10 Ho 0.783 0.033 0.750
11 Ho 0.250 0.283 0.033
12 Ho 0.750 0.217 0.467
13 Ho 0.533 0.250 0.783
14 Ho 0.967 0.750 0.717
15 Ho 0.283 0.533 0.750
16 Ho 0.217 0.967 0.250
17 O 0.031 0.271 0.542
18 O 0.228 0.489 0.958
19 O 0.272 0.229 0.260
20 O 0.469 0.011 0.240
21 O 0.042 0.031 0.771
22 O 0.458 0.228 0.989
23 O 0.760 0.272 0.729
24 O 0.740 0.469 0.511
25 O 0.271 0.042 0.531
26 O 0.489 0.458 0.728
27 O 0.229 0.760 0.772
28 O 0.011 0.740 0.969
29 O 0.969 0.729 0.458
30 O 0.772 0.511 0.042
31 O 0.728 0.771 0.740
32 O 0.531 0.989 0.760
33 O 0.958 0.969 0.229
34 O 0.542 0.772 0.011
35 O 0.240 0.728 0.271
36 O 0.260 0.531 0.489
37 O 0.729 0.958 0.469
38 O 0.511 0.542 0.272
39 O 0.771 0.240 0.228
40 O 0.989 0.260 0.031

Its magnetic moment is 0.00 μB/cell. As for the space-group type: Ia-3, No. 206. The calculation puts the density at 8.73 Mg/m³. The value obtained for the density of states at the Fermi level is 0.00 states/eV/f.u. The calculation puts the raw total energy at -1091.5 eV per cell.

***

Record 3
## Ho2O3 (SCAN)

Data for a crystal of Ho2O3 relaxed with PBEsol.

Cell lengths 3.615, 3.615, 5.734 Å; angles 90.00, 90.00, 120.00 degrees
Element x y z (fractional)
1 Ho 0.333 0.667 0.751
2 Ho 0.667 0.333 0.249
3 O 0.000 0.000 0.000
4 O 0.333 0.667 0.354
5 O 0.667 0.333 0.646

Its magnetic moment is 0.00 μB/cell. As for the space-group type: P-3m1, No. 164. The calculation puts the density at 9.67 Mg/m³. The value obtained for the density of states at the Fermi level is 0.00 states/eV/f.u. The calculation puts the raw total energy at -136.2 eV per cell.